{
  "formula": "Zr6TlSn",
  "functional": "PBE",
  "state": "optimized geometry",
  "lattice_angstrom": [[7.985, 0.016, 0.402], [3.990, 6.933, 0.188], [3.826, 2.324, 3.455]],
  "species": ["Zr", "Zr", "Zr", "Zr", "Zr", "Zr", "Sn", "Tl"],
  "fractional_positions": [[0.500, 0.250, 0.251], [0.000, 0.500, 0.750], [0.500, 0.750, 0.749], [0.250, 0.000, 0.250], [0.000, 0.500, 0.250], [0.750, 0.000, 0.750], [0.000, 0.000, 0.000], [0.500, 0.500, 0.500]],
  "vol_a3_per_atom": 22.58,
  "energy_ev_per_atom": -7.44,
  "m_tot_mub_per_fu": 0.00,
  "spacegroup": "R-3",
  "dos_at_fermi_per_ev_atom": 1.207
}

{
  "formula": "ZrTl3Sn",
  "functional": "PBE",
  "state": "optimized geometry",
  "lattice_angstrom": [[-0.428, -5.291, 1.949], [5.203, -1.124, -1.908], [2.172, 1.649, 4.953]],
  "species": ["Tl", "Tl", "Tl", "Zr", "Sn"],
  "fractional_positions": [[0.500, 0.000, 0.000], [0.000, 0.000, 0.500], [0.000, 0.500, 0.000], [0.500, 0.500, 0.500], [0.000, 0.000, 0.000]],
  "vol_a3_per_atom": 36.16,
  "energy_ev_per_atom": -2.96,
  "m_tot_mub_per_fu": 1.79,
  "spacegroup": "Pm-3m",
  "dos_at_fermi_per_ev_atom": 1.763
}

{
  "formula": "ZrTlSn2",
  "functional": "PBE",
  "state": "optimized geometry",
  "lattice_angstrom": [[8.402, 0.000, 0.000], [0.000, 8.402, 0.000], [4.201, 4.201, 3.073]],
  "species": ["Sn", "Sn", "Sn", "Sn", "Zr", "Zr", "Tl", "Tl"],
  "fractional_positions": [[0.375, 0.389, 0.750], [0.611, 0.125, 0.250], [0.139, 0.625, 0.250], [0.875, 0.861, 0.750], [0.250, 0.750, 0.500], [0.500, 0.500, 0.000], [0.750, 0.250, 0.500], [0.000, 0.000, 0.000]],
  "vol_a3_per_atom": 27.12,
  "energy_ev_per_atom": -4.58,
  "m_tot_mub_per_fu": 0.00,
  "spacegroup": "I-42d",
  "dos_at_fermi_per_ev_atom": 1.128
}

{
  "formula": "Zr4TlSn",
  "functional": "PBE",
  "state": "optimized geometry",
  "lattice_angstrom": [[3.324, 0.000, 0.962], [1.845, 5.310, -0.151], [-0.459, -1.456, 7.814]],
  "species": ["Zr", "Zr", "Zr", "Zr", "Sn", "Tl"],
  "fractional_positions": [[0.330, 0.005, 0.334], [0.670, 0.995, 0.666], [0.166, 0.499, 0.170], [0.834, 0.501, 0.830], [0.500, 0.500, 0.500], [0.000, 0.000, 0.000]],
  "vol_a3_per_atom": 22.83,
  "energy_ev_per_atom": -7.01,
  "m_tot_mub_per_fu": 0.00,
  "spacegroup": "C2/m",
  "dos_at_fermi_per_ev_atom": 0.757
}

{
  "formula": "Zr12Tl3Sn",
  "functional": "PBE",
  "state": "optimized geometry",
  "lattice_angstrom": [[-2.091, -3.165, 4.199], [2.295, -4.615, -2.336], [9.457, 1.678, 5.974]],
  "species": ["Tl", "Tl", "Tl", "Zr", "Zr", "Zr", "Zr", "Zr", "Zr", "Zr", "Zr", "Zr", "Zr", "Zr", "Zr", "Sn"],
  "fractional_positions": [[0.000, 0.000, 0.000], [0.500, 0.500, 0.250], [0.500, 0.500, 0.750], [0.000, 0.750, 0.748], [0.000, 0.250, 0.252], [0.500, 0.000, 0.875], [0.250, 0.500, 0.500], [0.250, 0.500, 0.000], [0.000, 0.750, 0.252], [0.500, 0.000, 0.125], [0.000, 0.250, 0.748], [0.500, 0.000, 0.625], [0.750, 0.500, 0.000], [0.750, 0.500, 0.500], [0.500, 0.000, 0.375], [0.000, 0.000, 0.500]],
  "vol_a3_per_atom": 22.63,
  "energy_ev_per_atom": -7.28,
  "m_tot_mub_per_fu": 0.00,
  "spacegroup": "Pmmm",
  "dos_at_fermi_per_ev_atom": 0.931
}

{
  "formula": "Zr3TlSn",
  "functional": "PBE",
  "state": "optimized geometry",
  "lattice_angstrom": [[8.034, 1.393, -0.630], [5.149, 6.323, -0.630], [2.433, 1.424, 10.303]],
  "species": ["Zr", "Zr", "Zr", "Zr", "Zr", "Zr", "Zr", "Zr", "Zr", "Zr", "Zr", "Zr", "Sn", "Sn", "Sn", "Sn", "Tl", "Tl", "Tl", "Tl"],
  "fractional_positions": [[0.194, 0.697, 0.512], [0.303, 0.806, 0.988], [0.874, 0.931, 0.767], [0.806, 0.303, 0.488], [0.697, 0.194, 0.012], [0.668, 0.736, 0.739], [0.736, 0.668, 0.239], [0.264, 0.332, 0.761], [0.931, 0.874, 0.267], [0.332, 0.264, 0.261], [0.126, 0.069, 0.233], [0.069, 0.126, 0.733], [0.500, 0.000, 0.000], [0.522, 0.478, 0.250], [0.000, 0.500, 0.500], [0.478, 0.522, 0.750], [0.904, 0.392, 0.982], [0.392, 0.904, 0.482], [0.096, 0.608, 0.018], [0.608, 0.096, 0.518]],
  "vol_a3_per_atom": 22.98,
  "energy_ev_per_atom": -6.60,
  "m_tot_mub_per_fu": 0.00,
  "spacegroup": "C2/c",
  "dos_at_fermi_per_ev_atom": 1.009
}

{
  "formula": "ZrTlSn2",
  "functional": "PBE",
  "state": "optimized geometry",
  "lattice_angstrom": [[0.000, 3.738, 3.738], [3.738, 0.000, 3.738], [3.738, 3.738, 0.000]],
  "species": ["Tl", "Sn", "Sn", "Zr"],
  "fractional_positions": [[0.500, 0.500, 0.500], [0.250, 0.250, 0.250], [0.750, 0.750, 0.750], [0.000, 0.000, 0.000]],
  "vol_a3_per_atom": 26.11,
  "energy_ev_per_atom": -4.55,
  "m_tot_mub_per_fu": 0.00,
  "spacegroup": "Fm-3m",
  "dos_at_fermi_per_ev_atom": 1.752
}

{
  "formula": "Zr2Tl2Sn",
  "functional": "PBE",
  "state": "optimized geometry",
  "lattice_angstrom": [[8.862, 0.000, 0.000], [0.000, 8.862, 0.000], [0.000, 0.000, 3.238]],
  "species": ["Sn", "Sn", "Tl", "Tl", "Tl", "Tl", "Zr", "Zr", "Zr", "Zr"],
  "fractional_positions": [[0.500, 0.500, 0.000], [0.000, 0.000, 0.000], [0.830, 0.670, 0.000], [0.670, 0.170, 0.000], [0.330, 0.830, 0.000], [0.170, 0.330, 0.000], [0.627, 0.873, 0.500], [0.127, 0.627, 0.500], [0.873, 0.373, 0.500], [0.373, 0.127, 0.500]],
  "vol_a3_per_atom": 25.43,
  "energy_ev_per_atom": -5.04,
  "m_tot_mub_per_fu": 0.00,
  "spacegroup": "P4/mbm",
  "dos_at_fermi_per_ev_atom": 0.792
}